This record from the Alexandria database describes an optimized crystal structure of CePm3Y6Er2. The functional is PBE.

Output
space group	No. 12
calculated total energy	-5.64	eV/atom

Lattice parameters (Å, degrees): 6.2074 6.2074 11.8434 95.01 95.01 119.98
Last column: nearest neighbours and their distance in Å.
Fractional positions:
Ce (0.0000, 0.0000, 0.0000)  6 Y 3.54, 6 Er 3.58
Pm (0.1676, 0.8324, 0.5000)  6 Pm 3.57-3.60, 6 Y 3.60-3.61
Pm (0.5000, 0.5000, 0.5000)  6 Pm 3.57-3.59, 6 Y 3.60-3.61
Pm (0.8324, 0.1676, 0.5000)  6 Pm 3.57-3.60, 6 Y 3.60-3.61
Y (0.0826, 0.4140, 0.2468)  1 Ce 3.54, 2 Er 3.55, 6 Y 3.56-3.59, 3 Pm 3.60-3.61
Y (0.2491, 0.2491, 0.7531)  1 Ce 3.54, 2 Er 3.55, 6 Y 3.57-3.59, 3 Pm 3.61
Y (0.4140, 0.0826, 0.2468)  1 Ce 3.54, 2 Er 3.55, 6 Y 3.56-3.59, 3 Pm 3.60-3.61
Y (0.5860, 0.9174, 0.7532)  1 Ce 3.54, 2 Er 3.55, 6 Y 3.56-3.59, 3 Pm 3.60-3.61
Y (0.7509, 0.7509, 0.2469)  1 Ce 3.54, 2 Er 3.55, 6 Y 3.57-3.59, 3 Pm 3.61
Y (0.9174, 0.5860, 0.7532)  1 Ce 3.54, 2 Er 3.55, 6 Y 3.56-3.59, 3 Pm 3.60-3.61
Er (0.3333, 0.6667, 0.0000)  6 Y 3.55, 3 Ce 3.58, 3 Er 3.58
Er (0.6667, 0.3333, 0.0000)  6 Y 3.55, 3 Ce 3.58, 3 Er 3.58

This record from the Alexandria database describes an optimized crystal structure of Ce2PmY6Er3. The functional is PBE.

Output
space group	No. 12
calculated total energy	-5.73	eV/atom

Lattice parameters (Å, degrees): 6.1917 6.1917 11.4368 90.04 90.04 120.02
Last column: nearest neighbours and their distance in Å.
Fractional positions:
Ce (0.1666, 0.8334, 0.0000)  6 Y 3.52, 3 Pm 3.57-3.58, 3 Ce 3.57
Ce (0.8334, 0.1666, 0.0000)  6 Y 3.52, 3 Pm 3.57-3.58, 3 Ce 3.57
Pm (0.5000, 0.5000, 0.0000)  6 Y 3.53, 6 Ce 3.57-3.58
Y (0.1634, 0.4987, 0.7504)  2 Ce 3.52, 3 Er 3.52-3.54, 1 Pm 3.53, 6 Y 3.56-3.60
Y (0.1658, 0.1658, 0.2496)  2 Ce 3.52, 1 Pm 3.53, 3 Er 3.53, 6 Y 3.56-3.60
Y (0.4987, 0.1634, 0.7504)  2 Ce 3.52, 3 Er 3.52-3.54, 1 Pm 3.53, 6 Y 3.56-3.60
Y (0.5013, 0.8366, 0.2496)  2 Ce 3.52, 3 Er 3.52-3.54, 1 Pm 3.53, 6 Y 3.56-3.60
Y (0.8342, 0.8342, 0.7504)  2 Ce 3.52, 1 Pm 3.53, 3 Er 3.53, 6 Y 3.56-3.60
Y (0.8366, 0.5013, 0.2496)  2 Ce 3.52, 3 Er 3.52-3.54, 1 Pm 3.53, 6 Y 3.56-3.60
Er (0.1667, 0.8333, 0.5000)  6 Y 3.52-3.53, 6 Er 3.57-3.58
Er (0.5000, 0.5000, 0.5000)  6 Y 3.53-3.54, 6 Er 3.57-3.58
Er (0.8333, 0.1667, 0.5000)  6 Y 3.52-3.53, 6 Er 3.57-3.58

This record from the Alexandria database describes an optimized crystal structure of CePmErZn. The functional is PBE.

Output
space group	No. 216
calculated total energy	-4.03	eV/atom

Lattice parameters (Å, degrees): 5.3470 5.3470 5.3470 60.00 60.00 60.00
Last column: nearest neighbours and their distance in Å.
Fractional positions:
Ce (0.0000, 0.0000, 0.0000)  4 Zn 3.27, 4 Pm 3.27
Pm (0.2500, 0.2500, 0.2500)  4 Ce 3.27, 4 Er 3.27
Er (0.5000, 0.5000, 0.5000)  4 Pm 3.27, 4 Zn 3.27
Zn (0.7500, 0.7500, 0.7500)  4 Ce 3.27, 4 Er 3.27

Calculated formation energy, respectively: 0.035 0.030 0.099 eV/atom.